Entry 1:
# InC, relaxed, DFT PBE
# Raw total energy (eV per atom): -5.180
# Mass density (g/cm3): 5.61
data_InC
_symmetry_space_group_name_H-M 'C 1 2/m 1'
_symmetry_Int_Tables_number 12
_cell_length_a 8.2189
_cell_length_b 3.5860
_cell_length_c 5.1896
_cell_angle_alpha 90.00
_cell_angle_beta 100.92
_cell_angle_gamma 90.00
loop_
_symmetry_equiv_pos_as_xyz
'x,y,z'
'-x,-y,-z'
'-x,y,-z'
'x,-y,z'
'x+1/2,y+1/2,z'
'-x+1/2,-y+1/2,-z'
'-x+1/2,y+1/2,-z'
'x+1/2,-y+1/2,z'
loop_
_atom_site_label
_atom_site_type_symbol
_atom_site_fract_x
_atom_site_fract_y
_atom_site_fract_z
In1 In 0.1655 0.0000 0.2143
C1 C 0.0742 0.5000 0.4743



Entry 2:
# In3C4, relaxed, DFT PBE
# Raw total energy (eV per atom): -4.909
# Mass density (g/cm3): 6.11
data_In3C4
_symmetry_space_group_name_H-M 'P 6/m m m'
_symmetry_Int_Tables_number 191
_symmetry_space_group_name_Hall '-P 6 2'
_cell_length_a 6.5679
_cell_length_b 6.5679
_cell_length_c 2.8575
_cell_angle_alpha 90.00
_cell_angle_beta 90.00
_cell_angle_gamma 120.00
loop_
_atom_site_label
_atom_site_type_symbol
_atom_site_fract_x
_atom_site_fract_y
_atom_site_fract_z
In1 In 0.0000 0.5000 0.0000
C1 C 0.0000 0.0000 0.2544
C2 C 0.3333 0.6667 0.5000



Entry 3:
# In5C, relaxed, DFT PBE
# Raw total energy (eV per atom): -3.217
# Mass density (g/cm3): 6.43
data_In5C
_symmetry_space_group_name_H-M 'P -6 2 m'
_symmetry_Int_Tables_number 189
_symmetry_space_group_name_Hall 'P -6 -2'
_cell_length_a 7.3950
_cell_length_b 7.3950
_cell_length_c 3.1964
_cell_angle_alpha 90.00
_cell_angle_beta 90.00
_cell_angle_gamma 120.00
loop_
_atom_site_label
_atom_site_type_symbol
_atom_site_fract_x
_atom_site_fract_y
_atom_site_fract_z
In1 In 0.0000 0.7496 0.0000
In2 In 0.3333 0.6667 0.5000
C1 C 0.0000 0.0000 0.5000



Entry 4:
# InC, relaxed, DFT PBE
# Raw total energy (eV per atom): -3.883
# Mass density (g/cm3): 7.28
data_InC
_symmetry_space_group_name_H-M 'P m -3 m'
_symmetry_Int_Tables_number 221
_symmetry_space_group_name_Hall '-P 4 2 3'
_cell_length_a 3.0697
_cell_length_b 3.0697
_cell_length_c 3.0697
_cell_angle_alpha 90.00
_cell_angle_beta 90.00
_cell_angle_gamma 90.00
loop_
_atom_site_label
_atom_site_type_symbol
_atom_site_fract_x
_atom_site_fract_y
_atom_site_fract_z
In1 In 0.0000 0.0000 0.0000
C1 C 0.5000 0.5000 0.5000



Question: The highest mass density belongs to which entry?
Answer: number 4



Question: What is the mass density in the fourth record?
Answer: 7.28 g/cm3



Question: Which of these has the highest mass density?
Answer: number 4